Entry P
DFT (PBE) results for a relaxed structure of Tb3Dy5Y.

## Properties
Symmetry: C2/c, No. 15

Lattice parameters (Å, degrees): 8.941 8.941 8.941 114.15 114.15 65.88
Sites, in units of the cell vectors:
Tb  0.000  0.500  0.000
Tb  0.167  0.667  0.834
Tb  0.333  0.833  0.666
Tb  0.500  0.000  0.500
Tb  0.667  0.167  0.334
Tb  0.833  0.333  0.166
Dy  0.082  0.918  0.250
Dy  0.083  0.250  0.584
Dy  0.248  0.416  0.416
Dy  0.250  0.083  0.084
Dy  0.416  0.248  0.916
Dy  0.584  0.752  0.084
Dy  0.750  0.917  0.916
Dy  0.752  0.584  0.584
Dy  0.917  0.750  0.416
Dy  0.918  0.082  0.750
Y  0.417  0.583  0.250
Y  0.583  0.417  0.750

=====

Entry Q
DFT (PBE) results for a relaxed structure of Tb3Dy5Y.

## Properties
Symmetry: C2/m, No. 12

Lattice parameters (Å, degrees): 9.475 9.475 9.900 120.99 120.99 74.01
Sites, in units of the cell vectors:
Tb  0.000  0.000  0.000
Tb  0.009  0.009  0.316
Tb  0.481  0.481  0.140
Tb  0.500  0.500  0.500
Tb  0.519  0.519  0.860
Tb  0.991  0.991  0.684
Dy  0.098  0.601  0.751
Dy  0.223  0.223  0.730
Dy  0.242  0.758  0.500
Dy  0.277  0.277  0.460
Dy  0.399  0.902  0.249
Dy  0.601  0.098  0.751
Dy  0.723  0.723  0.540
Dy  0.758  0.242  0.500
Dy  0.777  0.777  0.270
Dy  0.902  0.399  0.249
Y  0.250  0.250  0.097
Y  0.750  0.750  0.903

=====

Structures ranked by computed energy, the most stable listed first: entry P, entry Q.